Record 1
NbRu: optimized geometry, GGA-PBE.

Summary:
The volume comes out at 17.7 Å³ per atom. For the formation energy, the calculation gives 369 meV per atom.

a = 5.2119 Å, b = 5.2119 Å, c = 5.2119 Å
α = 90.00°, β = 90.00°, γ = 90.00°
Closest atoms and distances in Å follow each position.
Atoms (fractional coordinates):
Nb 0.0000 0.0000 0.0000  6 Ru 2.61
Nb 0.0000 0.5000 0.5000  6 Ru 2.61
Nb 0.5000 0.0000 0.5000  6 Ru 2.61
Nb 0.5000 0.5000 0.0000  6 Ru 2.61
Ru 0.0000 0.0000 0.5000  6 Nb 2.61
Ru 0.0000 0.5000 0.0000  6 Nb 2.61
Ru 0.5000 0.0000 0.0000  6 Nb 2.61
Ru 0.5000 0.5000 0.5000  6 Nb 2.61



Record 2
IrRu2Cl: optimized geometry, GGA-PBE.

Summary:
The volume comes out at 14.6 Å³ per atom. The value obtained for the offset from the most stable computed form is 245.1 meV per atom.

a = 2.8255 Å, b = 4.0662 Å, c = 5.2402 Å
α = 90.00°, β = 104.50°, γ = 90.00°
Closest atoms and distances in Å follow each position.
Atoms (fractional coordinates):
Ir 0.0000 0.0000 0.0000  7 Ru 2.57-2.87, 2 Cl 2.58, 2 Ir 2.83
Ru 0.2694 0.0000 0.5071  2 Cl 2.41, 1 Ir 2.57
Ru 0.6200 0.5000 0.2516  1 Cl 2.45
Cl 0.6216 0.5000 0.7185  3 Ru 2.41-2.45, 2 Ir 2.58



Record 3
MgInTe3: optimized geometry, GGA-PBE.

Summary:
The volume comes out at 34.2 Å³ per atom. The value obtained for the offset from the most stable computed form is 0.0 meV per atom.

a = 5.5489 Å, b = 5.5489 Å, c = 5.5489 Å
α = 90.00°, β = 90.00°, γ = 90.00°
Closest atoms and distances in Å follow each position.
Atoms (fractional coordinates):
Mg 0.0000 0.0000 0.0000  6 Te 2.77
In 0.5000 0.5000 0.5000  12 Te 3.92
Te 0.0000 0.0000 0.5000  2 Mg 2.77
Te 0.0000 0.5000 0.0000  2 Mg 2.77
Te 0.5000 0.0000 0.0000  2 Mg 2.77



Record 4
Pr2Sm2DyY4: optimized geometry, GGA-PBE.

Summary:
The volume comes out at 33.4 Å³ per atom. For the formation energy, the calculation gives 0 meV per atom.

a = 9.6315 Å, b = 9.6315 Å, c = 9.6909 Å
α = 115.22°, β = 115.22°, γ = 21.82°
Closest atoms and distances in Å follow each position.
Atoms (fractional coordinates):
Pr 0.1649 0.1649 0.4992  3 Y 3.58-3.60, 2 Dy 3.62, 3 Sm 3.62-3.63, 4 Pr 3.65-3.69
Pr 0.8351 0.8351 0.5008  3 Y 3.58-3.60, 2 Dy 3.62, 3 Sm 3.62-3.63, 4 Pr 3.65-3.69
Sm 0.3525 0.3525 0.8366  7 Y 3.55-3.66, 3 Pr 3.62-3.63, 2 Sm 3.65
Sm 0.6475 0.6475 0.1634  7 Y 3.55-3.66, 3 Pr 3.62-3.63, 2 Sm 3.65
Dy 0.5000 0.5000 0.5000  6 Y 3.59-3.60, 4 Pr 3.62, 2 Dy 3.65
Y 0.0194 0.0194 0.8333  4 Sm 3.56-3.66, 1 Pr 3.58, 2 Dy 3.59, 5 Y 3.61-3.65
Y 0.3150 0.3150 0.1648  3 Sm 3.55-3.65, 6 Y 3.57-3.65, 1 Dy 3.60, 2 Pr 3.60
Y 0.6850 0.6850 0.8352  3 Sm 3.55-3.65, 6 Y 3.57-3.65, 1 Dy 3.60, 2 Pr 3.60
Y 0.9806 0.9806 0.1667  4 Sm 3.56-3.66, 1 Pr 3.58, 2 Dy 3.59, 5 Y 3.61-3.65



Record 5
CaLa5Bi4: optimized geometry, GGA-PBE.

Summary:
The volume comes out at 40.3 Å³ per atom. For the formation energy, the calculation gives -615 meV per atom. The value obtained for the offset from the most stable computed form is 141.7 meV per atom.

a = 10.2840 Å, b = 10.2840 Å, c = 9.0937 Å
α = 105.36°, β = 105.36°, γ = 25.84°
Closest atoms and distances in Å follow each position.
Atoms (fractional coordinates):
Ca 0.0000 0.0000 0.0000  6 Bi 3.24-3.27
La 0.0000 0.0000 0.5000  4 Bi 3.23
La 0.3257 0.3257 0.6599  3 Bi 3.21-3.26
La 0.3375 0.3375 0.1760  4 Bi 3.25-3.30
La 0.6625 0.6625 0.8240  4 Bi 3.25-3.30
La 0.6743 0.6743 0.3401  3 Bi 3.21-3.26
Bi 0.1693 0.1693 0.0836  5 La 3.25-3.27, 1 Ca 3.27
Bi 0.4919 0.4919 0.7443  4 La 3.21-3.30, 2 Ca 3.24
Bi 0.5081 0.5081 0.2557  4 La 3.21-3.30, 2 Ca 3.24
Bi 0.8308 0.8308 0.9164  5 La 3.25-3.27, 1 Ca 3.27



Record 6
BaZrCd: optimized geometry, GGA-PBE.

Summary:
The volume comes out at 34.8 Å³ per atom. For the formation energy, the calculation gives 1148 meV per atom. The value obtained for the offset from the most stable computed form is 1059.2 meV per atom.

a = 7.4770 Å, b = 7.4770 Å, c = 7.4770 Å
α = 90.00°, β = 90.00°, γ = 90.00°
Closest atoms and distances in Å follow each position.
Atoms (fractional coordinates):
Ba 0.0000 0.0000 0.0000  4 Zr 3.24, 4 Cd 3.24
Ba 0.0000 0.5000 0.5000  4 Zr 3.24, 4 Cd 3.24
Ba 0.5000 0.0000 0.5000  4 Zr 3.24, 4 Cd 3.24
Ba 0.5000 0.5000 0.0000  4 Zr 3.24, 4 Cd 3.24
Zr 0.2500 0.2500 0.7500  4 Ba 3.24
Zr 0.2500 0.7500 0.2500  4 Ba 3.24
Zr 0.7500 0.2500 0.2500  4 Ba 3.24
Zr 0.7500 0.7500 0.7500  4 Ba 3.24
Cd 0.2500 0.2500 0.2500  4 Ba 3.24
Cd 0.2500 0.7500 0.7500  4 Ba 3.24
Cd 0.7500 0.2500 0.7500  4 Ba 3.24
Cd 0.7500 0.7500 0.2500  4 Ba 3.24



Which formula does entry 6 have?
BaZrCd